Entry 1:
This record from Alexandria via LeMat-Bulk describes AsRhCl2 after structural relaxation. The functional is GGA-PBEsol.

Results
As for the density of states at the Fermi level: 3.25 states/eV/cell. The calculation puts the density at 5.733 g/cm3. The energy relative to the elements, uncorrected is 1.11 eV per formula unit. Its distance to the lowest polymorph of the same formula is 0.869 eV/atom. The electronic total energy is -4.04 eV per atom.

```
AsRhCl2
1.0
-2.0936 2.0936 8.2183
2.0936 -2.0936 8.2183
2.0936 2.0936 -8.2183
As Rh Cl
2 2 4
Cartesian
0.0000 0.0000 0.0000
0.0000 2.0936 4.1092
2.0936 0.0000 4.1092
0.0000 0.0000 8.2183
1.0468 -0.9784 6.1638
1.1152 1.0468 2.0546
1.0468 3.0721 -2.0546
0.9784 1.0468 10.2729
```



Entry 2:
This record from Alexandria via LeMat-Bulk describes SnSb2AuI after structural relaxation. The functional is GGA-PBEsol.

Results
As for the density of states at the Fermi level: 5.75 states/eV/cell. The calculation puts the density at 7.322 g/cm3. The energy relative to the elements, uncorrected is 2.45 eV per formula unit. The electronic total energy is -3.32 eV per atom.

```
SnSb2AuI
1.0
5.2994 0.0000 0.0000
0.0000 5.2994 0.0000
0.0000 0.0000 5.5402
Sn Sb Au I
1 2 1 1
Cartesian
0.0000 0.0000 0.0000
0.0000 2.6497 2.7701
2.6497 0.0000 2.7701
2.6497 2.6497 2.7701
2.6497 2.6497 0.0000
```



Entry 3:
This record from Alexandria via LeMat-Bulk describes Mg2MnWO6 after structural relaxation. The functional is GGA-PBEsol.

Results
The calculation puts the density at 5.949 g/cm3. The energy relative to the elements, uncorrected is -22.45 eV per formula unit. Its distance to the lowest polymorph of the same formula is 0.000 eV/atom. The electronic total energy is -8.09 eV per atom.

```
Mg2MnWO6
1.0
2.5795 1.4893 4.6428
-2.5795 1.4893 4.6428
0.0000 -2.9786 4.6428
Mg Mn W O
2 1 1 6
Cartesian
0.0000 0.0000 0.0000
0.0000 0.0000 6.9587
0.0000 0.0000 3.9654
0.0000 0.0000 11.0747
-1.6358 -0.1294 5.5182
-1.0770 -1.5062 7.7499
0.9300 -1.3519 5.5182
-0.7660 1.6858 7.7498
0.7058 1.4813 5.5182
1.8429 -0.1796 7.7499
```



- Which of these has the lowest energy relative to the elements, uncorrected?
  Mg2MnWO6